# 1
Here is a geometry-optimized CoReAu2 structure from Alexandria via LeMat-Bulk. Energies are from PBE.

a = 6.262 Å, b = 6.262 Å, c = 6.262 Å
α = 90.00°, β = 90.00°, γ = 90.00°
Space group Fm-3m (No. 225)
Asymmetric unit:
Co: 0.000 0.000 0.000 (multiplicity 4)
Re: 0.000 0.000 0.500 (multiplicity 4)
Au: 0.250 0.250 0.250 (multiplicity 8)

Results
* DOS(E_F): 9.55 states/eV/cell
* distance to the lowest polymorph of the same formula: 0.502 eV/atom
* total magnetization: 0.00 Bohr magnetons per cell
* electronic total energy: -0.42829 Ry/atom
* energy of formation from the pure elements: 700 meV per atom

# 2
Here is a geometry-optimized YTmZnPd structure from Alexandria via LeMat-Bulk. Energies are from PBE.

a = 3.533 Å, b = 3.533 Å, c = 6.965 Å
α = 90.00°, β = 90.00°, γ = 90.00°
Space group P4mm (No. 99)
Asymmetric unit:
Y: 0.000 0.000 0.000 (multiplicity 1)
Tm: 0.000 0.000 0.507 (multiplicity 1)
Zn: 0.500 0.500 0.261 (multiplicity 1)
Pd: 0.500 0.500 0.740 (multiplicity 1)

Results
* DOS(E_F): 3.02 states/eV/cell
* distance to the lowest polymorph of the same formula: 0.000 eV/atom
* total magnetization: 0.00 Bohr magnetons per cell
* electronic total energy: -0.36726 Ry/atom
* energy of formation from the pure elements: -646 meV per atom